(1)
Compound: CaY2Se
Source: Alexandria via LeMat-Bulk
Functional: PBE
Structure: relaxed

## Properties
* D(E_F): 3.72 states/eV/f.u.
* density: 4.16 g/cm3
* formation energy from raw total energies: -0.68 eV per atom
* offset from the most stable computed form: 0.1422 eV per atom
* total energy: -5.288 eV/atom

Unit cell a=6.6983 b=6.6983 c=5.5758 alpha=65.48 beta=65.48 gamma=31.70
With the nearest neighbours (Å) after each atom.
Atoms (fractional coordinates):
Y 0.9473 0.9473 0.0525  2 Se 2.93
Y 0.5527 0.5527 0.4475  2 Se 2.93
Ca 0.7500 0.7500 0.7500  4 Se 3.33, 4 Y 3.61, 2 Ca 3.66
Se 0.2500 0.2500 0.2500  4 Y 2.93

(2)
Compound: CaY4Se
Source: Alexandria via LeMat-Bulk
Functional: PBE
Structure: relaxed

## Properties
* D(E_F): 7.84 states/eV/f.u.
* density: 3.88 g/cm3
* formation energy from raw total energies: 0.22 eV per atom
* total energy: -5.006 eV/atom

Unit cell a=6.6005 b=6.6005 c=6.6005 alpha=60.00 beta=60.00 gamma=60.00
With the nearest neighbours (Å) after each atom.
Atoms (fractional coordinates):
Ca 0.7500 0.7500 0.7500  12 Y 3.87, 4 Se 4.04
Y 0.8714 0.3762 0.3762  6 Y 3.27-3.33
Y 0.3762 0.3762 0.8714  6 Y 3.27-3.33
Y 0.3762 0.8714 0.3762  6 Y 3.27-3.33
Y 0.3762 0.3762 0.3762  6 Y 3.27-3.33
Se 0.0000 0.0000 0.0000  12 Y 3.87, 4 Ca 4.04

(3)
Compound: CaY2Se
Source: Alexandria via LeMat-Bulk
Functional: PBE
Structure: relaxed

## Properties
* D(E_F): 3.57 states/eV/f.u.
* density: 4.27 g/cm3
* formation energy from raw total energies: -0.39 eV per atom
* offset from the most stable computed form: 0.4363 eV per atom
* total energy: -4.994 eV/atom

Unit cell a=3.7266 b=5.7329 c=6.5432 alpha=55.68 beta=90.00 gamma=90.00
With the nearest neighbours (Å) after each atom.
Atoms (fractional coordinates):
Y 0.0000 0.0000 0.0000  2 Se 3.27, 4 Y 3.42, 4 Ca 3.44
Y 0.5000 0.5000 0.0000  2 Ca 3.27, 4 Y 3.42, 4 Se 3.44
Ca 0.5000 0.5000 0.5000  6 Y 3.27-3.44, 4 Se 3.42
Se 0.0000 0.0000 0.5000  6 Y 3.27-3.44, 4 Ca 3.42

(4)
Compound: CaY2Se3
Source: Alexandria via LeMat-Bulk
Functional: PBE
Structure: relaxed

## Properties
* D(E_F): 2.25 states/eV/f.u.
* density: 5.10 g/cm3
* formation energy from raw total energies: -1.84 eV per atom
* total energy: -6.073 eV/atom

Unit cell a=4.0956 b=5.8124 c=7.1596 alpha=113.95 beta=106.62 gamma=90.00
With the nearest neighbours (Å) after each atom.
Atoms (fractional coordinates):
Ca 0.5000 0.5000 0.5000  6 Se 2.91-2.92
Y 0.8343 0.8343 0.1686  6 Se 2.90-2.92
Y 0.1657 0.1657 0.8314  6 Se 2.90-2.92
Se 0.8327 0.3327 0.1654  4 Y 2.91-2.92, 2 Ca 2.92
Se 0.1673 0.6673 0.8346  4 Y 2.91-2.92, 2 Ca 2.92
Se 0.5000 0.0000 0.5000  4 Y 2.90, 2 Ca 2.91

(5)
Compound: CaY6Se8
Source: Alexandria via LeMat-Bulk
Functional: PBE
Structure: relaxed

## Properties
* D(E_F): 4.18 states/eV/f.u.
* density: 5.20 g/cm3
* formation energy from raw total energies: -1.87 eV per atom
* total energy: -6.445 eV/atom

Unit cell a=8.1639 b=8.1639 c=8.1639 alpha=60.00 beta=60.00 gamma=60.00
With the nearest neighbours (Å) after each atom.
Atoms (fractional coordinates):
Ca 0.0000 0.0000 0.0000  6 Se 2.93
Y 0.0000 0.5000 0.5000  6 Se 2.89
Y 0.5000 0.0000 0.0000  6 Se 2.89
Y 0.5000 0.5000 0.0000  6 Se 2.89
Y 0.0000 0.0000 0.5000  6 Se 2.89
Y 0.0000 0.5000 0.0000  6 Se 2.89
Y 0.5000 0.0000 0.5000  6 Se 2.89
Se 0.7500 0.7500 0.7500  6 Y 2.89
Se 0.2500 0.2500 0.2500  6 Y 2.89
Se 0.7461 0.2539 0.2539  4 Y 2.89, 1 Ca 2.93
Se 0.2539 0.7461 0.7461  4 Y 2.89, 1 Ca 2.93
Se 0.2539 0.2539 0.7461  4 Y 2.89, 1 Ca 2.93
Se 0.7461 0.7461 0.2539  4 Y 2.89, 1 Ca 2.93
Se 0.7461 0.2539 0.7461  4 Y 2.89, 1 Ca 2.93
Se 0.2539 0.7461 0.2539  4 Y 2.89, 1 Ca 2.93

(6)
Compound: Ca3YSe
Source: Alexandria via LeMat-Bulk
Functional: PBE
Structure: relaxed

## Properties
* D(E_F): 2.86 states/eV/f.u.
* density: 2.16 g/cm3
* formation energy from raw total energies: 0.76 eV per atom
* offset from the most stable computed form: 1.2219 eV per atom
* total energy: -2.427 eV/atom

Unit cell a=6.0529 b=6.0529 c=6.0529 alpha=90.00 beta=90.00 gamma=90.00
With the nearest neighbours (Å) after each atom.
Atoms (fractional coordinates):
Y 0.0000 0.0000 0.0000  6 Ca 3.03
Ca 0.0000 0.5000 0.0000  2 Y 3.03
Ca 0.0000 0.0000 0.5000  2 Y 3.03
Ca 0.5000 0.0000 0.0000  2 Y 3.03
Se 0.5000 0.5000 0.5000  12 Ca 4.28

(7)
Compound: CaYSe4
Source: Alexandria via LeMat-Bulk
Functional: PBE
Structure: relaxed

## Properties
* D(E_F): 5.19 states/eV/f.u.
* density: 5.00 g/cm3
* formation energy from raw total energies: -0.24 eV per atom
* total energy: -3.976 eV/atom

Unit cell a=5.9322 b=5.9322 c=5.9322 alpha=60.00 beta=60.00 gamma=60.00
With the nearest neighbours (Å) after each atom.
Atoms (fractional coordinates):
Ca 0.0000 0.0000 0.0000  12 Se 3.48, 4 Y 3.63
Y 0.7500 0.7500 0.7500  12 Se 3.48, 4 Ca 3.63
Se 0.8745 0.3752 0.3752  6 Se 2.96-2.97
Se 0.3752 0.3752 0.8745  6 Se 2.96-2.97
Se 0.3752 0.8745 0.3752  6 Se 2.96-2.97
Se 0.3752 0.3752 0.3752  6 Se 2.96-2.97

(8)
Compound: CaY2Se
Source: Alexandria via LeMat-Bulk
Functional: PBE
Structure: relaxed

## Properties
* D(E_F): 3.55 states/eV/f.u.
* density: 4.06 g/cm3
* formation energy from raw total energies: -0.73 eV per atom
* offset from the most stable computed form: 0.0978 eV per atom
* total energy: -5.333 eV/atom

Unit cell a=3.6298 b=3.6298 c=9.6675 alpha=90.00 beta=90.00 gamma=107.52
With the nearest neighbours (Å) after each atom.
Atoms (fractional coordinates):
Y 0.0000 0.0000 0.9547  2 Se 2.88
Y 0.5000 0.5000 0.2336  6 Y 3.45-3.63, 2 Ca 3.78
Ca 0.0000 0.0000 0.5559  2 Se 2.89
Se 0.5000 0.5000 0.7558  2 Y 2.88, 2 Ca 2.89

(9)
Compound: Ca4Y3Se8
Source: Alexandria via LeMat-Bulk
Functional: PBE
Structure: relaxed

## Properties
* D(E_F): 4.03 states/eV/f.u.
* density: 3.98 g/cm3
* formation energy from raw total energies: -1.82 eV per atom
* total energy: -5.503 eV/atom

Unit cell a=8.2385 b=8.2385 c=8.8978 alpha=62.42 beta=62.42 gamma=60.00
With the nearest neighbours (Å) after each atom.
Atoms (fractional coordinates):
Ca 0.0000 0.0000 0.0000  6 Se 3.07
Ca 0.3536 0.3536 0.9392  4 Se 2.72-2.88
Ca 0.5000 0.5000 0.5000  6 Se 3.00, 2 Ca 3.30
Ca 0.6464 0.6464 0.0608  4 Se 2.72-2.88
Y 0.5000 0.0000 0.5000  6 Se 2.81-2.94
Y 0.0000 0.0000 0.5000  6 Se 2.81-2.94
Y 0.0000 0.5000 0.5000  6 Se 2.81-2.94
Se 0.2328 0.2328 0.3015  1 Ca 2.72, 3 Y 2.81
Se 0.2373 0.7480 0.2667  3 Ca 2.88-3.07, 2 Y 2.94
Se 0.7480 0.7480 0.2667  3 Ca 2.88-3.07, 2 Y 2.94
Se 0.7480 0.2373 0.2667  3 Ca 2.88-3.07, 2 Y 2.94
Se 0.7672 0.7672 0.6985  1 Ca 2.72, 3 Y 2.81
Se 0.7627 0.2520 0.7333  3 Ca 2.88-3.07, 2 Y 2.94
Se 0.2520 0.2520 0.7333  3 Ca 2.88-3.07, 2 Y 2.94
Se 0.2520 0.7627 0.7333  3 Ca 2.88-3.07, 2 Y 2.94

(10)
Compound: CaYSe2
Source: Alexandria via LeMat-Bulk
Functional: PBE
Structure: relaxed

## Properties
* D(E_F): 2.31 states/eV/f.u.
* density: 4.67 g/cm3
* formation energy from raw total energies: -1.81 eV per atom
* offset from the most stable computed form: 0.0779 eV per atom
* total energy: -5.665 eV/atom

Unit cell a=4.0469 b=4.0469 c=7.5661 alpha=74.49 beta=74.49 gamma=60.00
With the nearest neighbours (Å) after each atom.
Atoms (fractional coordinates):
Ca 0.4958 0.4958 0.5126  6 Se 2.93-3.06
Y 0.6697 0.6697 0.9909  6 Se 2.88-2.94
Se 0.0808 0.0808 0.7576  3 Y 2.88, 3 Ca 2.93
Se 0.2537 0.2537 0.2389  3 Y 2.94, 3 Ca 3.06

(11)
Compound: CaYSe2
Source: Alexandria via LeMat-Bulk
Functional: PBE
Structure: relaxed

## Properties
* D(E_F): 2.55 states/eV/f.u.
* density: 4.29 g/cm3
* formation energy from raw total energies: -1.44 eV per atom
* offset from the most stable computed form: 0.4475 eV per atom
* total energy: -5.295 eV/atom

Unit cell a=7.4131 b=7.4131 c=7.4131 alpha=148.48 beta=148.48 gamma=45.17
With the nearest neighbours (Å) after each atom.
Atoms (fractional coordinates):
Y 0.5000 0.5000 0.0000  4 Se 2.85
Ca 0.7500 0.2500 0.5000  4 Se 2.85
Se 0.0000 0.0000 0.0000  4 Y 2.85
Se 0.2500 0.7500 0.5000  4 Ca 2.85

(12)
Compound: CaY2Se
Source: Alexandria via LeMat-Bulk
Functional: PBE
Structure: relaxed

## Properties
* D(E_F): 4.86 states/eV/f.u.
* density: 4.21 g/cm3
* formation energy from raw total energies: -0.60 eV per atom
* offset from the most stable computed form: 0.2219 eV per atom
* total energy: -5.209 eV/atom

Unit cell a=6.6435 b=6.6435 c=5.5501 alpha=65.29 beta=65.29 gamma=32.04
With the nearest neighbours (Å) after each atom.
Atoms (fractional coordinates):
Y 0.9523 0.9523 0.0480  2 Se 2.91
Y 0.7424 0.7424 0.7576  4 Se 3.33, 2 Ca 3.55, 4 Y 3.67-3.68
Ca 0.5500 0.5500 0.4502  2 Se 2.99
Se 0.2554 0.2554 0.2443  2 Y 2.91, 2 Ca 2.99

(13)
Compound: Ca3YSe
Source: Alexandria via LeMat-Bulk
Functional: PBE
Structure: relaxed

## Properties
* D(E_F): 8.85 states/eV/f.u.
* density: 2.60 g/cm3
* formation energy from raw total energies: -0.46 eV per atom
* offset from the most stable computed form: 0.0000 eV per atom
* total energy: -3.649 eV/atom

Unit cell a=5.6890 b=5.6890 c=5.6890 alpha=90.00 beta=90.00 gamma=90.00
With the nearest neighbours (Å) after each atom.
Atoms (fractional coordinates):
Y 0.5000 0.5000 0.5000  12 Ca 4.02
Ca 0.0000 0.5000 0.0000  2 Se 2.84
Ca 0.0000 0.0000 0.5000  2 Se 2.84
Ca 0.5000 0.0000 0.0000  2 Se 2.84
Se 0.0000 0.0000 0.0000  6 Ca 2.84

(14)
Compound: CaY2Se
Source: Alexandria via LeMat-Bulk
Functional: PBE
Structure: relaxed

## Properties
* D(E_F): 5.04 states/eV/f.u.
* density: 4.37 g/cm3
* formation energy from raw total energies: -0.34 eV per atom
* offset from the most stable computed form: 0.4819 eV per atom
* total energy: -4.949 eV/atom

Unit cell a=6.3637 b=6.3637 c=6.3637 alpha=138.29 beta=138.29 gamma=60.46
With the nearest neighbours (Å) after each atom.
Atoms (fractional coordinates):
Y 0.0000 0.0000 0.0000  4 Ca 3.20, 4 Se 3.56, 4 Y 3.56
Y 0.2500 0.7500 0.5000  4 Se 3.20, 4 Y 3.56, 4 Ca 3.56
Ca 0.5000 0.5000 0.0000  8 Y 3.20-3.56, 4 Se 3.56
Se 0.7500 0.2500 0.5000  8 Y 3.20-3.56, 4 Ca 3.56

(15)
Compound: CaY3Se4
Source: Alexandria via LeMat-Bulk
Functional: PBE
Structure: relaxed

## Properties
* D(E_F): 3.09 states/eV/f.u.
* density: 5.27 g/cm3
* formation energy from raw total energies: -1.82 eV per atom
* offset from the most stable computed form: 0.0050 eV per atom
* total energy: -6.238 eV/atom

Unit cell a=4.0929 b=7.1248 c=7.1248 alpha=109.15 beta=90.00 gamma=90.00
With the nearest neighbours (Å) after each atom.
Atoms (fractional coordinates):
Ca 0.5000 0.0000 0.0000  6 Se 2.90-2.92
Y 0.0000 0.0000 0.5000  6 Se 2.90-2.91
Y 0.5000 0.5000 0.5000  6 Se 2.90
Y 0.0000 0.5000 0.0000  6 Se 2.90-2.91
Se 0.0000 0.2513 0.2513  4 Y 2.90, 2 Ca 2.92
Se 0.5000 0.7501 0.2499  1 Ca 2.90, 5 Y 2.90-2.91
Se 0.0000 0.7487 0.7487  4 Y 2.90, 2 Ca 2.92
Se 0.5000 0.2499 0.7501  1 Ca 2.90, 5 Y 2.90-2.91

(16)
Compound: CaY2Se
Source: Alexandria via LeMat-Bulk
Functional: PBE
Structure: relaxed

## Properties
* D(E_F): 4.32 states/eV/f.u.
* density: 3.98 g/cm3
* formation energy from raw total energies: -0.67 eV per atom
* offset from the most stable computed form: 0.1611 eV per atom
* total energy: -5.269 eV/atom

Unit cell a=3.6637 b=3.6637 c=9.9471 alpha=90.00 beta=90.00 gamma=111.92
With the nearest neighbours (Å) after each atom.
Atoms (fractional coordinates):
Y 0.0000 0.0000 0.9462  2 Se 2.83
Y 0.0000 0.0000 0.5538  2 Se 2.83
Ca 0.5000 0.5000 0.2500  4 Y 3.65, 4 Ca 3.66
Se 0.5000 0.5000 0.7500  4 Y 2.83

(17)
Compound: CaY2Se
Source: Alexandria via LeMat-Bulk
Functional: PBE
Structure: relaxed

## Properties
* D(E_F): 4.34 states/eV/f.u.
* density: 4.23 g/cm3
* formation energy from raw total energies: -0.35 eV per atom
* offset from the most stable computed form: 0.4744 eV per atom
* total energy: -4.956 eV/atom

Unit cell a=6.4864 b=6.4864 c=3.6764 alpha=74.26 beta=74.26 gamma=117.70
With the nearest neighbours (Å) after each atom.
Atoms (fractional coordinates):
Y 0.0000 0.0000 0.0000  2 Se 3.27, 2 Ca 3.27, 4 Y 3.36-3.44
Y 0.5000 0.5000 0.0000  2 Ca 3.27, 2 Se 3.27, 4 Y 3.36-3.44
Ca 0.5000 0.0000 0.5000  4 Y 3.27, 4 Se 3.36-3.44
Se 0.0000 0.5000 0.5000  4 Y 3.27, 4 Ca 3.36-3.44

(18)
Compound: CaY3Se4
Source: Alexandria via LeMat-Bulk
Functional: PBE
Structure: relaxed

## Properties
* D(E_F): 1.59 states/eV/f.u.
* density: 5.28 g/cm3
* formation energy from raw total energies: -1.83 eV per atom
* offset from the most stable computed form: 0.0000 eV per atom
* total energy: -6.243 eV/atom

Unit cell a=5.7992 b=5.7992 c=7.1204 alpha=114.03 beta=114.03 gamma=90.00
With the nearest neighbours (Å) after each atom.
Atoms (fractional coordinates):
Y 0.5000 0.5000 0.0000  6 Se 2.90-2.93
Y 0.7500 0.2500 0.5000  6 Se 2.90-2.91
Y 0.2500 0.7500 0.5000  6 Se 2.90-2.91
Ca 0.0000 0.0000 0.0000  6 Se 2.89-2.90
Se 0.0000 0.5000 0.0000  4 Y 2.90-2.91, 2 Ca 2.90
Se 0.5000 0.0000 0.0000  2 Ca 2.90, 4 Y 2.90-2.91
Se 0.2484 0.2484 0.4968  1 Ca 2.89, 5 Y 2.90-2.93
Se 0.7516 0.7516 0.5032  1 Ca 2.89, 5 Y 2.90-2.93

(19)
Compound: CaY2Se
Source: Alexandria via LeMat-Bulk
Functional: PBE
Structure: relaxed

## Properties
* D(E_F): 5.54 states/eV/f.u.
* density: 3.77 g/cm3
* formation energy from raw total energies: -0.67 eV per atom
* offset from the most stable computed form: 0.1545 eV per atom
* total energy: -5.276 eV/atom

Unit cell a=3.8364 b=6.4117 c=6.4152 alpha=55.98 beta=90.00 gamma=90.00
With the nearest neighbours (Å) after each atom.
Atoms (fractional coordinates):
Y 0.0000 0.9296 0.9294  2 Se 2.80
Y 0.0000 0.5704 0.5706  2 Se 2.80
Ca 0.5000 0.2500 0.2500  2 Se 3.01
Se 0.5000 0.7500 0.7500  4 Y 2.80, 2 Ca 3.01

(20)
Compound: Ca2YSe3
Source: Alexandria via LeMat-Bulk
Functional: PBE
Structure: relaxed

## Properties
* D(E_F): 1.47 states/eV/f.u.
* density: 4.42 g/cm3
* formation energy from raw total energies: -1.93 eV per atom
* offset from the most stable computed form: 0.0000 eV per atom
* total energy: -5.415 eV/atom

Unit cell a=7.2047 b=7.2047 c=13.1320 alpha=100.56 beta=100.56 gamma=109.38
With the nearest neighbours (Å) after each atom.
Atoms (fractional coordinates):
Ca 0.9996 0.4996 0.9991  6 Se 2.94-2.96
Ca 0.4171 0.4171 0.8341  6 Se 2.95-2.96
Ca 0.8329 0.3329 0.6659  6 Se 2.95-2.96
Ca 0.2504 0.2504 0.5009  6 Se 2.94-2.96
Ca 0.7496 0.7496 0.4991  6 Se 2.94-2.96
Ca 0.6671 0.1671 0.3341  6 Se 2.95-2.96
Ca 0.5829 0.5829 0.1659  6 Se 2.95-2.96
Ca 0.5004 0.0004 0.0009  6 Se 2.94-2.96
Y 0.9169 0.9169 0.8339  6 Se 2.91-2.92
Y 0.3331 0.8331 0.6661  6 Se 2.91-2.92
Y 0.1669 0.6669 0.3339  6 Se 2.91-2.92
Y 0.0831 0.0831 0.1661  6 Se 2.91-2.92
Se 0.1662 0.6704 0.8318  2 Y 2.92, 4 Ca 2.95-2.96
Se 0.6656 0.1614 0.8318  2 Y 2.92, 4 Ca 2.95-2.96
Se 0.0838 0.0796 0.6682  2 Y 2.92, 4 Ca 2.95-2.96
Se 0.5844 0.5886 0.6682  2 Y 2.92, 4 Ca 2.95-2.96
Se 0.0041 0.5041 0.5000  2 Y 2.91, 4 Ca 2.94-2.96
Se 0.4959 0.9959 0.5000  2 Y 2.91, 4 Ca 2.94-2.96
Se 0.4114 0.4156 0.3318  2 Y 2.92, 4 Ca 2.95-2.96
Se 0.9204 0.9162 0.3318  2 Y 2.92, 4 Ca 2.95-2.96
Se 0.8386 0.3344 0.1682  2 Y 2.92, 4 Ca 2.95-2.96
Se 0.3296 0.8338 0.1682  2 Y 2.92, 4 Ca 2.95-2.96
Se 0.2459 0.2459 0.0000  2 Y 2.91, 4 Ca 2.94-2.96
Se 0.7541 0.7541 0.0000  2 Y 2.91, 4 Ca 2.94-2.96